Entry 1:
Density functional theory data (PBE-GGA) for crystalline Ca2YAg at its relaxed geometry.

Computed properties:
ΔE to the lowest computed polymorph = 145 meV/atom
energy of formation = 0.03 eV/atom

a b c (Å): 5.228 4.276 5.377
angles (deg): 90.00 90.10 90.00
Space group P2/m (No. 10)
Unique sites:
Ca: 0.000 0.000 0.000 x1
Ca: 0.500 0.500 0.000 x1
Y: 0.000 0.500 0.500 x1
Ag: 0.500 0.000 0.500 x1

=====

Entry 2:
Density functional theory data (PBE-GGA) for crystalline Li3BeP at its relaxed geometry.

Computed properties:
ΔE to the lowest computed polymorph = 0 meV/atom
energy of formation = 0.17 eV/atom

a b c (Å): 4.674 4.674 4.674
angles (deg): 90.00 90.00 90.00
Space group Pm-3m (No. 221)
Unique sites:
Li: 0.000 0.000 0.500 x3
Be: 0.500 0.500 0.500 x1
P: 0.000 0.000 0.000 x1

=====

Entry 3:
Density functional theory data (PBE-GGA) for crystalline Ta2AlHAu at its relaxed geometry.

Computed properties:
ΔE to the lowest computed polymorph = 0 meV/atom

a b c (Å): 3.962 3.962 4.558
angles (deg): 90.00 90.00 90.00
Space group P4/mmm (No. 123)
Unique sites:
Ta: 0.000 0.500 0.000 x2
Al: 0.000 0.000 0.500 x1
H: 0.500 0.500 0.000 x1
Au: 0.500 0.500 0.500 x1

=====

Entry 4:
Density functional theory data (PBE-GGA) for crystalline Tc2MoP at its relaxed geometry.

Computed properties:
energy of formation = 0.74 eV/atom

a b c (Å): 5.872 5.872 9.021
angles (deg): 90.00 90.00 90.00
Space group I-42d (No. 122)
Unique sites:
Tc: 0.225 0.250 0.125 x8
Mo: 0.000 0.000 0.500 x4
P: 0.000 0.000 0.000 x4

=====

Entry 5:
Density functional theory data (PBE-GGA) for crystalline Mg2InGe at its relaxed geometry.

Computed properties:
energy of formation = 0.08 eV/atom

a b c (Å): 4.457 4.457 19.138
angles (deg): 90.00 90.00 90.00
Space group I-42d (No. 122)
Unique sites:
Mg: 0.240 0.250 0.125 x8
In: 0.000 0.000 0.500 x4
Ge: 0.000 0.000 0.000 x4

=====

Entry 6:
Density functional theory data (PBE-GGA) for crystalline Ca2CuBr at its relaxed geometry.

Computed properties:
ΔE to the lowest computed polymorph = 734 meV/atom

a b c (Å): 7.649 7.649 7.649
angles (deg): 90.00 90.00 90.00
Space group F-43m (No. 216)
Unique sites:
Ca: 0.000 0.000 0.000 x4
Ca: 0.250 0.250 0.250 x4
Cu: 0.000 0.000 0.500 x4
Br: 0.250 0.250 0.750 x4

=====

Entry 7:
Density functional theory data (PBE-GGA) for crystalline LaSc2Al at its relaxed geometry.

Computed properties:
energy of formation = -0.14 eV/atom

a b c (Å): 4.656 4.656 4.622
angles (deg): 90.00 90.00 90.00
Space group P4/mmm (No. 123)
Unique sites:
La: 0.000 0.000 0.000 x1
Sc: 0.000 0.500 0.500 x2
Al: 0.500 0.500 0.000 x1

=====

Entry 8:
Density functional theory data (PBE-GGA) for crystalline TbDyCd2 at its relaxed geometry.

Computed properties:
energy of formation = -0.32 eV/atom

a b c (Å): 5.288 5.288 3.775
angles (deg): 90.00 90.00 90.00
Space group P4/mmm (No. 123)
Unique sites:
Tb: 0.000 0.000 0.000 x1
Dy: 0.500 0.500 0.000 x1
Cd: 0.000 0.500 0.500 x2